(1)
# SrLiPO2 (PBE-GGA, relaxed)
# Space-group type: P4/mmm
# ΔE_f (raw) in eV/f.u.: -2.80
# DFT total energy in eV per atom: -4.3443
# Volume in Å³/cell: 72
# M_tot in μB/cell: 0.00
data_SrLiPO2
_space_group_name_H-M_alt 'P 1'
_space_group_IT_number 1
_cell_length_a 4.203
_cell_length_b 4.203
_cell_length_c 4.087
_cell_angle_alpha 90.00
_cell_angle_beta 90.00
_cell_angle_gamma 90.00
loop_
_space_group_symop_operation_xyz
'x,y,z'
loop_
_atom_site_label
_atom_site_type_symbol
_atom_site_fract_x
_atom_site_fract_y
_atom_site_fract_z
Sr1 Sr 0.500 0.500 0.500
Li1 Li 0.000 0.000 0.000
O1 O 0.000 0.500 0.000
O2 O 0.500 0.000 0.000
P1 P 0.000 0.000 0.500

=====

(2)
# SrLiPO2 (PBE-GGA, relaxed)
# Space-group type: P4/mmm
# ΔE_f (raw) in eV/f.u.: -0.51
# DFT total energy in eV per atom: -3.8863
# Volume in Å³/cell: 133
# M_tot in μB/cell: 4.00
data_SrLiPO2
_space_group_name_H-M_alt 'P 1'
_space_group_IT_number 1
_cell_length_a 4.689
_cell_length_b 4.689
_cell_length_c 6.050
_cell_angle_alpha 90.00
_cell_angle_beta 90.00
_cell_angle_gamma 90.00
loop_
_space_group_symop_operation_xyz
'x,y,z'
loop_
_atom_site_label
_atom_site_type_symbol
_atom_site_fract_x
_atom_site_fract_y
_atom_site_fract_z
Sr1 Sr 0.000 0.000 0.000
Li1 Li 0.500 0.500 0.500
O1 O 0.000 0.500 0.000
O2 O 0.500 0.000 0.000
P1 P 0.000 0.000 0.500

=====

(3)
# SrLiPO4 (PBE-GGA, relaxed)
# Space-group type: F-43m
# ΔE_f (raw) in eV/f.u.: -17.32
# DFT total energy in eV per atom: -6.5936
# Volume in Å³/cell: 111
# M_tot in μB/cell: 0.00
data_SrLiPO4
_space_group_name_H-M_alt 'P 1'
_space_group_IT_number 1
_cell_length_a 5.390
_cell_length_b 5.390
_cell_length_c 5.390
_cell_angle_alpha 60.00
_cell_angle_beta 60.00
_cell_angle_gamma 60.00
loop_
_space_group_symop_operation_xyz
'x,y,z'
loop_
_atom_site_label
_atom_site_type_symbol
_atom_site_fract_x
_atom_site_fract_y
_atom_site_fract_z
Sr1 Sr 0.750 0.750 0.750
Li1 Li 0.500 0.500 0.500
P1 P 0.250 0.250 0.250
O1 O 0.367 0.367 0.900
O2 O 0.367 0.367 0.367
O3 O 0.367 0.900 0.367
O4 O 0.900 0.367 0.367

=====

(4)
# Sr2LiPO (PBE-GGA, relaxed)
# Space-group type: P4/mmm
# ΔE_f (raw) in eV/f.u.: -8.04
# DFT total energy in eV per atom: -4.7362
# Volume in Å³/cell: 104
# M_tot in μB/cell: 0.00
data_Sr2LiPO
_space_group_name_H-M_alt 'P 1'
_space_group_IT_number 1
_cell_length_a 5.016
_cell_length_b 5.016
_cell_length_c 4.129
_cell_angle_alpha 90.00
_cell_angle_beta 90.00
_cell_angle_gamma 90.00
loop_
_space_group_symop_operation_xyz
'x,y,z'
loop_
_atom_site_label
_atom_site_type_symbol
_atom_site_fract_x
_atom_site_fract_y
_atom_site_fract_z
Sr1 Sr 0.000 0.500 0.000
Sr2 Sr 0.500 0.000 0.000
Li1 Li 0.000 0.000 0.500
O1 O 0.000 0.000 0.000
P1 P 0.500 0.500 0.500

=====

(5)
# SrLiP2O6 (PBE-GGA, relaxed)
# Space-group type: C2/c
# ΔE_f (raw) in eV/f.u.: -22.21
# DFT total energy in eV per atom: -6.6379
# Volume in Å³/cell: 256
# M_tot in μB/cell: 0.00
data_SrLiP2O6
_space_group_name_H-M_alt 'P 1'
_space_group_IT_number 1
_cell_length_a 6.812
_cell_length_b 6.812
_cell_length_c 5.791
_cell_angle_alpha 102.56
_cell_angle_beta 102.56
_cell_angle_gamma 86.70
loop_
_space_group_symop_operation_xyz
'x,y,z'
loop_
_atom_site_label
_atom_site_type_symbol
_atom_site_fract_x
_atom_site_fract_y
_atom_site_fract_z
Sr1 Sr 0.198 0.802 0.250
Sr2 Sr 0.802 0.198 0.750
Li1 Li 0.585 0.415 0.250
Li2 Li 0.415 0.585 0.750
P1 P 0.302 0.132 0.771
P2 P 0.868 0.698 0.729
P3 P 0.698 0.868 0.229
P4 P 0.132 0.302 0.271
O1 O 0.920 0.383 0.192
O2 O 0.617 0.080 0.308
O3 O 0.080 0.617 0.808
O4 O 0.383 0.920 0.692
O5 O 0.183 0.133 0.043
O6 O 0.867 0.817 0.457
O7 O 0.817 0.867 0.957
O8 O 0.133 0.183 0.543
O9 O 0.296 0.463 0.361
O10 O 0.537 0.704 0.139
O11 O 0.704 0.537 0.639
O12 O 0.463 0.296 0.861

=====

(6)
# SrLiPO4 (PBE-GGA, relaxed)
# Space-group type: P6_3
# ΔE_f (raw) in eV/f.u.: -18.77
# DFT total energy in eV per atom: -6.8012
# Volume in Å³/cell: 188
# M_tot in μB/cell: 0.00
data_SrLiPO4
_space_group_name_H-M_alt 'P 1'
_space_group_IT_number 1
_cell_length_a 5.082
_cell_length_b 5.082
_cell_length_c 8.420
_cell_angle_alpha 90.00
_cell_angle_beta 90.00
_cell_angle_gamma 120.00
loop_
_space_group_symop_operation_xyz
'x,y,z'
loop_
_atom_site_label
_atom_site_type_symbol
_atom_site_fract_x
_atom_site_fract_y
_atom_site_fract_z
Sr1 Sr 0.000 0.000 0.979
Sr2 Sr 0.000 0.000 0.479
Li1 Li 0.667 0.333 0.176
Li2 Li 0.333 0.667 0.676
P1 P 0.667 0.333 0.772
P2 P 0.333 0.667 0.272
O1 O 0.667 0.333 0.956
O2 O 0.333 0.667 0.456
O3 O 0.941 0.302 0.715
O4 O 0.361 0.059 0.715
O5 O 0.059 0.698 0.215
O6 O 0.698 0.639 0.715
O7 O 0.639 0.941 0.215
O8 O 0.302 0.361 0.215

=====

(7)
# LiTaPO2 (PBE-GGA, relaxed)
# Space-group type: P4/mmm
# ΔE_f (raw) in eV/f.u.: -7.55
# DFT total energy in eV per atom: -7.3288
# Volume in Å³/cell: 80
# M_tot in μB/cell: 0.78
data_LiTaPO2
_space_group_name_H-M_alt 'P 1'
_space_group_IT_number 1
_cell_length_a 3.904
_cell_length_b 3.904
_cell_length_c 5.250
_cell_angle_alpha 90.00
_cell_angle_beta 90.00
_cell_angle_gamma 90.00
loop_
_space_group_symop_operation_xyz
'x,y,z'
loop_
_atom_site_label
_atom_site_type_symbol
_atom_site_fract_x
_atom_site_fract_y
_atom_site_fract_z
P1 P 0.000 0.000 0.500
Li1 Li 0.500 0.500 0.500
O1 O 0.000 0.500 0.000
O2 O 0.500 0.000 0.000
Ta1 Ta 0.000 0.000 0.000

=====

(8)
# LiTaPO2 (PBE-GGA, relaxed)
# Space-group type: P4/mmm
# ΔE_f (raw) in eV/f.u.: -0.87
# DFT total energy in eV per atom: -5.9925
# Volume in Å³/cell: 55
# M_tot in μB/cell: 0.00
data_LiTaPO2
_space_group_name_H-M_alt 'P 1'
_space_group_IT_number 1
_cell_length_a 3.636
_cell_length_b 3.636
_cell_length_c 4.160
_cell_angle_alpha 90.00
_cell_angle_beta 90.00
_cell_angle_gamma 90.00
loop_
_space_group_symop_operation_xyz
'x,y,z'
loop_
_atom_site_label
_atom_site_type_symbol
_atom_site_fract_x
_atom_site_fract_y
_atom_site_fract_z
P1 P 0.000 0.000 0.500
Li1 Li 0.000 0.000 0.000
O1 O 0.000 0.500 0.000
O2 O 0.500 0.000 0.000
Ta1 Ta 0.500 0.500 0.500

=====

(9)
# LiTb2P2O8 (PBE-GGA, relaxed)
# Space-group type: C2
# ΔE_f (raw) in eV/f.u.: -34.62
# DFT total energy in eV per atom: -7.4061
# Volume in Å³/cell: 162
# M_tot in μB/cell: 1.00
data_LiTb2P2O8
_space_group_name_H-M_alt 'P 1'
_space_group_IT_number 1
_cell_length_a 5.802
_cell_length_b 5.802
_cell_length_c 6.155
_cell_angle_alpha 62.11
_cell_angle_beta 62.11
_cell_angle_gamma 74.28
loop_
_space_group_symop_operation_xyz
'x,y,z'
loop_
_atom_site_label
_atom_site_type_symbol
_atom_site_fract_x
_atom_site_fract_y
_atom_site_fract_z
Li1 Li 0.743 0.257 0.000
Tb1 Tb 0.722 0.699 0.397
Tb2 Tb 0.301 0.278 0.603
P1 P 0.239 0.242 0.144
P2 P 0.758 0.761 0.856
O1 O 0.948 0.590 0.695
O2 O 0.071 0.109 0.106
O3 O 0.435 0.399 0.855
O4 O 0.590 0.928 0.690
O5 O 0.891 0.929 0.894
O6 O 0.072 0.410 0.310
O7 O 0.410 0.052 0.305
O8 O 0.601 0.565 0.145

=====

(10)
# LiTb2PO6 (PBE-GGA, relaxed)
# Space-group type: P4mm
# ΔE_f (raw) in eV/f.u.: -27.48
# DFT total energy in eV per atom: -7.3817
# Volume in Å³/cell: 113
# M_tot in μB/cell: 0.00
data_LiTb2PO6
_space_group_name_H-M_alt 'P 1'
_space_group_IT_number 1
_cell_length_a 4.419
_cell_length_b 5.046
_cell_length_c 5.046
_cell_angle_alpha 90.00
_cell_angle_beta 90.00
_cell_angle_gamma 90.00
loop_
_space_group_symop_operation_xyz
'x,y,z'
loop_
_atom_site_label
_atom_site_type_symbol
_atom_site_fract_x
_atom_site_fract_y
_atom_site_fract_z
Li1 Li 0.584 0.500 0.500
Tb1 Tb 0.029 0.500 0.000
Tb2 Tb 0.029 0.000 0.500
P1 P 0.607 0.000 0.000
O1 O 0.702 0.225 0.225
O2 O 0.702 0.225 0.775
O3 O 0.146 0.500 0.500
O4 O 0.244 0.000 0.000
O5 O 0.702 0.775 0.775
O6 O 0.702 0.775 0.225

=====

(11)
# LiTb2P2O8 (PBE-GGA, relaxed)
# Space-group type: C2
# ΔE_f (raw) in eV/f.u.: -34.43
# DFT total energy in eV per atom: -7.3912
# Volume in Å³/cell: 160
# M_tot in μB/cell: 1.00
data_LiTb2P2O8
_space_group_name_H-M_alt 'P 1'
_space_group_IT_number 1
_cell_length_a 6.041
_cell_length_b 6.041
_cell_length_c 5.780
_cell_angle_alpha 75.28
_cell_angle_beta 75.28
_cell_angle_gamma 118.93
loop_
_space_group_symop_operation_xyz
'x,y,z'
loop_
_atom_site_label
_atom_site_type_symbol
_atom_site_fract_x
_atom_site_fract_y
_atom_site_fract_z
Li1 Li 0.392 0.608 0.500
Tb1 Tb 0.108 0.892 0.500
Tb2 Tb 0.873 0.127 0.000
P1 P 0.375 0.625 0.000
P2 P 0.633 0.367 0.500
O1 O 0.310 0.226 0.669
O2 O 0.227 0.643 0.816
O3 O 0.217 0.303 0.167
O4 O 0.631 0.209 0.328
O5 O 0.791 0.369 0.672
O6 O 0.697 0.783 0.833
O7 O 0.357 0.773 0.184
O8 O 0.774 0.690 0.331

=====

(12)
# LiTePO2 (PBE-GGA, relaxed)
# Space-group type: P4/mmm
# ΔE_f (raw) in eV/f.u.: 1.10
# DFT total energy in eV per atom: -3.8572
# Volume in Å³/cell: 66
# M_tot in μB/cell: 0.79
data_LiTePO2
_space_group_name_H-M_alt 'P 1'
_space_group_IT_number 1
_cell_length_a 3.837
_cell_length_b 3.837
_cell_length_c 4.464
_cell_angle_alpha 90.00
_cell_angle_beta 90.00
_cell_angle_gamma 90.00
loop_
_space_group_symop_operation_xyz
'x,y,z'
loop_
_atom_site_label
_atom_site_type_symbol
_atom_site_fract_x
_atom_site_fract_y
_atom_site_fract_z
P1 P 0.000 0.000 0.500
Te1 Te 0.500 0.500 0.500
O1 O 0.000 0.500 0.000
O2 O 0.500 0.000 0.000
Li1 Li 0.000 0.000 0.000

=====

> Look up the M_tot of the ninth one.

1.00 μB/cell